(1)
Material: Pm5TmTl4
Method: DFT, PBE-GGA
State: optimized geometry

```
Pm5TmTl4
1.0
8.404 0.000 0.000
0.000 9.326 0.000
0.000 0.000 8.666
Pm Tm Tl
10 2 8
direct
0.012 0.056 0.234
0.012 0.444 0.234
0.250 0.750 0.171
0.488 0.056 0.234
0.488 0.444 0.234
0.512 0.556 0.766
0.512 0.944 0.766
0.750 0.250 0.829
0.988 0.556 0.766
0.988 0.944 0.766
0.250 0.250 0.585
0.750 0.750 0.415
0.082 0.250 0.934
0.250 0.583 0.501
0.250 0.917 0.501
0.418 0.250 0.934
0.582 0.750 0.066
0.750 0.083 0.499
0.750 0.417 0.499
0.918 0.750 0.066
```

Calculated values
**DFT total energy**: -75.858 eV for the cell shown
**Offset from the most stable computed form**: 267 meV per atom
**SG**: Pmmn, No. 59
**Energy of formation from the pure elements**: -2.3 kJ per mole of atoms

(2)
Material: PmTm3Tl3
Method: DFT, PBE-GGA
State: optimized geometry

```
PmTm3Tl3
1.0
9.370 0.000 0.000
-4.685 8.114 0.000
0.000 0.000 5.216
Pm Tm Tl
2 6 6
direct
0.333 0.667 0.250
0.667 0.333 0.750
0.002 0.229 0.250
0.227 0.998 0.250
0.229 0.227 0.750
0.771 0.773 0.250
0.773 0.002 0.750
0.998 0.771 0.750
0.073 0.448 0.750
0.375 0.927 0.750
0.448 0.375 0.250
0.552 0.625 0.750
0.625 0.073 0.250
0.927 0.552 0.250
```

Calculated values
**DFT total energy**: -53.849 eV for the cell shown
**Offset from the most stable computed form**: 0 meV per atom
**SG**: P6_3/m, No. 176
**Energy of formation from the pure elements**: -22.9 kJ per mole of atoms

(3)
Material: Pm5TmTl2
Method: DFT, PBE-GGA
State: optimized geometry

```
Pm5TmTl2
1.0
-1.830 5.506 6.231
1.830 -5.506 6.231
1.830 5.506 -6.231
Pm Tm Tl
5 1 2
direct
0.000 0.000 0.000
0.085 0.363 0.722
0.360 0.637 0.722
0.640 0.363 0.278
0.915 0.637 0.278
0.500 0.000 0.500
0.276 0.276 0.000
0.724 0.724 0.000
```

Calculated values
**DFT total energy**: -33.740 eV for the cell shown
**Offset from the most stable computed form**: 0 meV per atom
**SG**: Immm, No. 71
**Energy of formation from the pure elements**: -9.4 kJ per mole of atoms

(4)
Material: PmTm7Tl5
Method: DFT, PBE-GGA
State: optimized geometry

```
PmTm7Tl5
1.0
-3.220 5.428 5.351
3.220 -5.428 5.351
3.220 5.428 -5.351
Pm Tm Tl
1 7 5
direct
0.000 0.000 0.000
0.178 0.477 0.701
0.216 0.716 0.500
0.336 0.992 0.344
0.349 0.349 0.000
0.648 0.992 0.656
0.659 0.659 0.000
0.775 0.477 0.299
0.470 0.483 0.490
0.470 0.981 0.988
0.759 0.259 0.500
0.993 0.483 0.012
0.993 0.981 0.510
```

Calculated values
**DFT total energy**: -49.543 eV for the cell shown
**SG**: Imm2, No. 44
**Energy of formation from the pure elements**: -12.3 kJ per mole of atoms

(5)
Material: PmTm3Tl2
Method: DFT, PBE-GGA
State: optimized geometry

```
PmTm3Tl2
1.0
5.078 0.000 0.000
0.000 9.929 0.000
0.000 0.000 6.805
Pm Tm Tl
2 6 4
direct
0.000 0.043 0.000
0.000 0.957 0.500
0.000 0.317 0.617
0.000 0.683 0.117
0.500 0.194 0.281
0.500 0.455 0.905
0.500 0.545 0.405
0.500 0.806 0.781
0.000 0.368 0.159
0.000 0.632 0.659
0.500 0.137 0.738
0.500 0.863 0.238
```

Calculated values
**DFT total energy**: -48.891 eV for the cell shown
**Offset from the most stable computed form**: 0 meV per atom
**SG**: Pmc2_1, No. 26
**Energy of formation from the pure elements**: -24.9 kJ per mole of atoms

(6)
Material: Pm15Tm2Tl2
Method: DFT, PBE-GGA
State: optimized geometry

```
Pm15Tm2Tl2
1.0
5.511 3.182 5.974
-5.511 3.182 5.974
0.000 -6.363 5.974
Pm Tm Tl
15 2 2
direct
0.000 0.000 0.500
0.000 0.291 0.709
0.000 0.500 0.000
0.000 0.709 0.291
0.163 0.613 0.613
0.291 0.000 0.709
0.291 0.709 0.000
0.387 0.387 0.837
0.387 0.837 0.387
0.500 0.000 0.000
0.613 0.163 0.613
0.613 0.613 0.163
0.709 0.000 0.291
0.709 0.291 0.000
0.837 0.387 0.387
0.307 0.307 0.307
0.693 0.693 0.693
0.100 0.100 0.100
0.900 0.900 0.900
```

Calculated values
**DFT total energy**: -81.554 eV for the cell shown
**SG**: R-3m, No. 166
**Energy of formation from the pure elements**: 17.2 kJ per mole of atoms